Entry 1:
LaFeSi: relaxed, PBE.

Values from the calculation:
The value obtained for the formation energy without anion corrections is 0.8134 eV per atom. As for the mass density: 4.7 g cm⁻³. As for the density of states at the Fermi level: 2.63 states/eV/atom.

```
LaFeSi
1.0
0.0000 3.3969 3.3969
3.3969 0.0000 3.3969
3.3969 3.3969 0.0000
La Fe Si
1 1 1
Cartesian
0.0000 0.0000 0.0000
1.6985 1.6985 1.6985
5.0954 5.0954 5.0954
```

***

Entry 2:
LaFe2Si: relaxed, PBE.

Values from the calculation:
The value obtained for the formation energy without anion corrections is 0.0624 eV per atom. As for the mass density: 6.2 g cm⁻³. As for the density of states at the Fermi level: 0.87 states/eV/atom.

```
LaFe2Si
1.0
-1.6742 1.8557 5.9685
1.6742 -1.8557 5.9685
1.6742 1.8557 -5.9685
La Fe Si
1 2 1
Cartesian
0.0000 0.0000 0.0000
0.0000 0.0000 4.3224
0.0000 1.8557 2.8372
1.6742 0.0000 2.7182
```

***

Entry 3:
LaFe3Si: relaxed, PBE.

Values from the calculation:
The value obtained for the formation energy without anion corrections is 1.8367 eV per atom. Its excess energy over the best structure of this formula in the dataset is 1.613 eV/atom. As for the mass density: 5.6 g cm⁻³. As for the density of states at the Fermi level: 1.92 states/eV/atom.

```
LaFe3Si
1.0
4.6246 0.0000 0.0000
0.0000 4.6246 0.0000
0.0000 0.0000 4.6246
La Fe Si
1 3 1
Cartesian
0.0000 0.0000 0.0000
0.0000 0.0000 2.3123
0.0000 2.3123 0.0000
2.3123 0.0000 0.0000
2.3123 2.3123 2.3123
```

***

Entry 4:
LaFe2Si: relaxed, PBE.

Values from the calculation:
The value obtained for the formation energy without anion corrections is -0.3595 eV per atom. As for the mass density: 6.4 g cm⁻³. As for the density of states at the Fermi level: 1.04 states/eV/atom.

```
LaFe2Si
1.0
1.9873 1.1473 5.3005
-1.9873 1.1473 5.3005
0.0000 -2.2947 5.3005
La Fe Si
1 2 1
Cartesian
0.0000 0.0000 0.0000
0.0000 0.0000 3.0950
0.0000 0.0000 8.0835
0.0000 0.0000 12.7672
```

***

Entry 5:
LaFe4Si2: relaxed, PBE.

Values from the calculation:
The value obtained for the formation energy without anion corrections is -0.3133 eV per atom. As for the mass density: 7.0 g cm⁻³. As for the density of states at the Fermi level: 0.82 states/eV/atom.

```
LaFe4Si2
1.0
7.3225 0.0000 0.0000
0.0000 7.3225 0.0000
0.0000 0.0000 3.7154
La Fe Si
2 8 4
Cartesian
0.0000 0.0000 0.0000
3.6613 3.6613 1.8577
0.5759 2.6061 1.8577
1.0552 4.2371 0.0000
2.6061 0.5759 1.8577
3.0854 6.2673 0.0000
4.2371 1.0552 0.0000
4.7165 6.7466 1.8577
6.2673 3.0854 0.0000
6.7466 4.7165 1.8577
1.6305 5.6920 1.8577
2.0308 2.0308 0.0000
5.2918 5.2918 0.0000
5.6920 1.6305 1.8577
```

***

Entry 6:
LaFe2Si: relaxed, PBE.

Values from the calculation:
The value obtained for the formation energy without anion corrections is -0.0472 eV per atom. As for the mass density: 6.9 g cm⁻³. As for the density of states at the Fermi level: 0.84 states/eV/atom.

```
LaFe2Si
1.0
3.0907 0.0000 0.0000
0.0000 3.0907 0.0000
0.0000 0.0000 6.9969
La Fe Si
1 2 1
Cartesian
0.0000 0.0000 0.0000
0.0000 0.0000 3.5229
1.5454 1.5454 4.7606
1.5454 1.5454 2.3356
```